A plane-wave DFT calculation with PBE was carried out for a relaxed structure of Tl3SiBi.

Computed properties:
Space-group type ... No. 221
DOS at the Fermi energy ... 0.72 states/eV per atom
E_tot ... -2.36 eV/atom

Geometry as POSCAR:
```
Tl3SiBi
1.0
5.997 0.000 0.000
0.000 5.997 0.000
0.000 0.000 5.997
Tl Si Bi
3 1 1
Cartesian
0.000 0.000 2.999 Tl
0.000 2.999 0.000 Tl
2.999 0.000 0.000 Tl
2.999 2.999 2.999 Si
0.000 0.000 0.000 Bi
```